VASP calculation (PBE-GGA) on a geometry-optimized Ba6IrI3Cl2 structure.

CIF file:
```
data_Ba6IrI3Cl2
_cell_length_a 8.244
_cell_length_b 8.244
_cell_length_c 8.867
_cell_angle_alpha 98.77
_cell_angle_beta 98.77
_cell_angle_gamma 119.54
_symmetry_space_group_name_H-M 'P 1'
_symmetry_Int_Tables_number 1
loop_
_symmetry_equiv_pos_as_xyz
'x,y,z'
loop_
_atom_site_label
_atom_site_type_symbol
_atom_site_fract_x
_atom_site_fract_y
_atom_site_fract_z
_atom_site_occupancy
Ba1 Ba 0.234 0.234 0.790 1
Ba2 Ba 0.375 0.067 0.204 1
Ba3 Ba 0.933 0.625 0.796 1
Ba4 Ba 0.067 0.375 0.204 1
Ba5 Ba 0.625 0.933 0.796 1
Ba6 Ba 0.766 0.766 0.210 1
Cl1 Cl 0.336 0.664 0.000 1
Cl2 Cl 0.664 0.336 0.000 1
Ir1 Ir 0.000 0.000 0.000 1
I1 I 0.826 0.174 0.500 1
I2 I 0.500 0.500 0.500 1
I3 I 0.174 0.826 0.500 1
```

Computed properties:
ΔE_f (raw) (meV per atom): -1323
Calculated volume (Å³/f.u.): 499.6
SG: C2/m

VASP calculation (PBE-GGA) on a geometry-optimized Ba2IrICl structure.

CIF file:
```
data_Ba2IrICl
_cell_length_a 6.094
_cell_length_b 4.544
_cell_length_c 6.094
_cell_angle_alpha 90.00
_cell_angle_beta 90.00
_cell_angle_gamma 90.00
_symmetry_space_group_name_H-M 'P 1'
_symmetry_Int_Tables_number 1
loop_
_symmetry_equiv_pos_as_xyz
'x,y,z'
loop_
_atom_site_label
_atom_site_type_symbol
_atom_site_fract_x
_atom_site_fract_y
_atom_site_fract_z
_atom_site_occupancy
Cl1 Cl 0.000 0.000 0.000 1
Ir1 Ir 0.000 0.500 0.000 1
Ba1 Ba 0.500 0.000 0.000 1
Ba2 Ba 0.000 0.000 0.500 1
I1 I 0.500 0.500 0.500 1
```

Computed properties:
ΔE_f (raw) (meV per atom): -634
Calculated volume (Å³/f.u.): 168.7
SG: P4/mmm

VASP calculation (PBE-GGA) on a geometry-optimized KBaICl2 structure.

CIF file:
```
data_KBaICl2
_cell_length_a 5.420
_cell_length_b 8.896
_cell_length_c 11.098
_cell_angle_alpha 121.58
_cell_angle_beta 90.00
_cell_angle_gamma 90.00
_symmetry_space_group_name_H-M 'P 1'
_symmetry_Int_Tables_number 1
loop_
_symmetry_equiv_pos_as_xyz
'x,y,z'
loop_
_atom_site_label
_atom_site_type_symbol
_atom_site_fract_x
_atom_site_fract_y
_atom_site_fract_z
_atom_site_occupancy
Cl1 Cl 0.250 0.544 0.143 1
Cl2 Cl 0.250 0.464 0.617 1
Cl3 Cl 0.750 0.536 0.383 1
Cl4 Cl 0.750 0.456 0.857 1
I1 I 0.750 0.975 0.148 1
I2 I 0.250 0.025 0.852 1
K1 K 0.750 0.303 0.515 1
K2 K 0.250 0.697 0.485 1
Ba1 Ba 0.750 0.319 0.063 1
Ba2 Ba 0.250 0.681 0.937 1
```

Computed properties:
ΔE_f (raw) (meV per atom): -2060
Calculated volume (Å³/f.u.): 228.0
SG: P2_1/m

E_tot across the listed records, respectively: -3.718 -3.855 -3.712 eV per atom.